12
Lattice="5.749 -2.684 0.000 5.749 2.684 0.000 -3.400 0.000 7.986" Properties=species:S:1:pos:R:3 comment="Ce2SnRh3 (PBE, relaxed)" m_tot_mub_per_cell=0.00 sg="C2/c, No. 15" formation_energy_kj_per_mol_atoms=-70.12 density_g_cm3=9.534 pbc="T T T"
Ce 1.766 0.046 0.712
Ce 0.066 -0.046 4.705
Ce 8.032 0.046 3.281
Ce 6.332 -0.046 7.274
Sn 3.199 0.998 5.989
Sn 4.899 -0.998 1.996
Rh 4.899 1.711 1.996
Rh 2.773 0.027 3.449
Rh 1.073 -0.027 7.441
Rh 7.025 0.027 0.544
Rh 5.325 -0.027 4.537
Rh 3.199 -1.711 5.989